# 1
Compound: Ca2Tl3Cd
Source: Alexandria
Functional: PBE-GGA
Structure: relaxed

crystal system	orthorhombic
E_form	-144	kJ/mol of formula units
density	7.7	g cm⁻³
ΔE to the lowest computed polymorph	28.5	meV/atom
calculated volume	29.06	Å³ per atom

Cell: 5.9361 7.2334 9.3729 Å, 112.70 108.46 90.00°
Closest atoms and distances in Å follow each position.
Positions (direct):
Ca: 0.6582 0.6582 0.3163  8 Tl 3.34-3.50, 2 Cd 3.51, 2 Ca 3.62
Ca: 0.3418 0.8418 0.6837  8 Tl 3.34-3.50, 2 Cd 3.51, 2 Ca 3.62
Ca: 0.3418 0.3418 0.6837  8 Tl 3.34-3.50, 2 Cd 3.51, 2 Ca 3.62
Ca: 0.6582 0.1582 0.3163  8 Tl 3.34-3.50, 2 Cd 3.51, 2 Ca 3.62
Tl: 0.8355 0.5811 0.6622  1 Cd 3.07, 1 Tl 3.20, 2 Ca 3.34
Tl: 0.1733 0.9189 0.3378  1 Cd 3.07, 1 Tl 3.20, 2 Ca 3.34
Tl: 0.8267 0.0811 0.6622  1 Cd 3.07, 1 Tl 3.20, 2 Ca 3.34
Tl: 0.1645 0.4189 0.3378  1 Cd 3.07, 1 Tl 3.20, 2 Ca 3.34
Tl: 0.2724 0.2500 0.0000  2 Cd 2.91-3.03, 2 Tl 3.20
Tl: 0.7276 0.7500 0.0000  2 Cd 2.91-3.03, 2 Tl 3.20
Cd: 0.7626 0.2500 0.0000  4 Tl 2.91-3.07
Cd: 0.2374 0.7500 0.0000  4 Tl 2.91-3.07

***

# 2
Compound: Ca3Tl4Cd2
Source: Alexandria
Functional: PBE-GGA
Structure: relaxed

crystal system	monoclinic
E_form	-258	kJ/mol of formula units
density	7.6	g cm⁻³
calculated volume	28.20	Å³ per atom

Cell: 5.1272 6.3264 9.6430 Å, 114.92 90.00 113.91°
Closest atoms and distances in Å follow each position.
Positions (direct):
Tl: 0.7494 0.4987 0.0866  1 Cd 2.95, 2 Tl 3.06
Tl: 0.9400 0.8801 0.6119  2 Cd 2.94, 1 Tl 3.06
Tl: 0.2506 0.5013 0.9134  1 Cd 2.95, 2 Tl 3.06
Tl: 0.0600 0.1199 0.3881  2 Cd 2.94, 1 Tl 3.06
Ca: 0.3350 0.6699 0.3380  8 Tl 3.35-3.75, 4 Cd 3.47-3.51, 2 Ca 3.65-3.74
Ca: 0.0000 0.0000 0.0000  8 Tl 3.37-3.66, 4 Cd 3.49, 2 Ca 3.74
Ca: 0.6650 0.3301 0.6620  8 Tl 3.35-3.75, 4 Cd 3.47-3.51, 2 Ca 3.65-3.74
Cd: 0.3904 0.7808 0.7234  3 Tl 2.94-2.95
Cd: 0.6096 0.2192 0.2766  3 Tl 2.94-2.95

***

| no. | electronic total energy (eV/cell) |
| --- | --- |
| 1 | -27.0 |
| 2 | -20.0 |